# 1
# PrNdSb2Se2 (PBE, relaxed)
# Total moment (Bohr magnetons per cell): 0.00
# Final energy (eV per atom): -5.525
data_PrNdSb2Se2
_chemical_formula_sum 'Pr1 Nd1 Sb2 Se2'
_space_group_name_H-M_alt 'P 1'
_space_group_IT_number 1
_cell_length_a 4.237
_cell_length_b 4.237
_cell_length_c 9.168
_cell_angle_alpha 90.00
_cell_angle_beta 90.00
_cell_angle_gamma 90.00
loop_
_space_group_symop_operation_xyz
'x,y,z'
loop_
_atom_site_label
_atom_site_fract_x
_atom_site_fract_y
_atom_site_fract_z
Pr1 0.000 0.000 0.705
Sb1 0.500 0.000 0.001
Sb2 0.000 0.500 0.001
Nd1 0.500 0.500 0.296
Se1 0.000 0.000 0.370
Se2 0.500 0.500 0.628



# 2
# Na3DyCl6 (PBE, relaxed)
# Total moment (Bohr magnetons per cell): 0.00
# Final energy (eV per atom): -3.961
data_Na3DyCl6
_chemical_formula_sum 'Na6 Dy2 Cl12'
_space_group_name_H-M_alt 'P 1'
_space_group_IT_number 1
_cell_length_a 6.865
_cell_length_b 7.274
_cell_length_c 10.130
_cell_angle_alpha 90.00
_cell_angle_beta 90.85
_cell_angle_gamma 90.00
loop_
_space_group_symop_operation_xyz
'x,y,z'
loop_
_atom_site_label
_atom_site_fract_x
_atom_site_fract_y
_atom_site_fract_z
Dy1 0.500 0.500 0.500
Dy2 0.000 0.000 0.000
Na1 0.500 0.500 0.000
Na2 0.523 0.924 0.241
Na3 0.977 0.424 0.259
Na4 0.477 0.076 0.759
Na5 0.000 0.000 0.500
Na6 0.023 0.576 0.741
Cl1 0.168 0.307 0.920
Cl2 0.141 0.067 0.240
Cl3 0.816 0.679 0.434
Cl4 0.316 0.821 0.934
Cl5 0.668 0.193 0.420
Cl6 0.684 0.179 0.066
Cl7 0.359 0.567 0.260
Cl8 0.332 0.807 0.580
Cl9 0.832 0.693 0.080
Cl10 0.184 0.321 0.566
Cl11 0.641 0.433 0.740
Cl12 0.859 0.933 0.760



# 3
# CsCuReSeS2 (PBE, relaxed)
# Total moment (Bohr magnetons per cell): 4.20
# Final energy (eV per atom): -5.158
data_CsCuReSeS2
_chemical_formula_sum 'Cs2 Cu2 Re2 Se2 S4'
_space_group_name_H-M_alt 'P 1'
_space_group_IT_number 1
_cell_length_a 8.192
_cell_length_b 8.192
_cell_length_c 9.647
_cell_angle_alpha 90.00
_cell_angle_beta 90.00
_cell_angle_gamma 153.96
loop_
_space_group_symop_operation_xyz
'x,y,z'
loop_
_atom_site_label
_atom_site_fract_x
_atom_site_fract_y
_atom_site_fract_z
S1 0.901 0.099 0.955
S2 0.901 0.099 0.545
S3 0.099 0.901 0.455
S4 0.099 0.901 0.045
Se1 0.568 0.432 0.750
Se2 0.432 0.568 0.250
Re1 0.500 0.500 0.000
Re2 0.500 0.500 0.500
Cs1 0.738 0.262 0.250
Cs2 0.262 0.738 0.750
Cu1 0.968 0.032 0.750
Cu2 0.032 0.968 0.250



# 4
# ZnO (PBE, relaxed)
# Final energy (eV per atom): -3.827
data_ZnO
_chemical_formula_sum 'Zn1 O1'
_space_group_name_H-M_alt 'P 1'
_space_group_IT_number 1
_cell_length_a 2.660
_cell_length_b 2.660
_cell_length_c 2.660
_cell_angle_alpha 90.00
_cell_angle_beta 90.00
_cell_angle_gamma 90.00
loop_
_space_group_symop_operation_xyz
'x,y,z'
loop_
_atom_site_label
_atom_site_fract_x
_atom_site_fract_y
_atom_site_fract_z
Zn1 0.000 0.000 0.000
O1 0.500 0.500 0.500



# 5
# NdZnPd (PBE, relaxed)
# Formation energy (meV per atom): -323.8
# Total moment (Bohr magnetons per cell): 0.21
data_NdZnPd
_chemical_formula_sum 'Nd3 Zn3 Pd3'
_space_group_name_H-M_alt 'P 1'
_space_group_IT_number 1
_cell_length_a 8.055
_cell_length_b 8.055
_cell_length_c 3.371
_cell_angle_alpha 90.00
_cell_angle_beta 90.00
_cell_angle_gamma 120.00
loop_
_space_group_symop_operation_xyz
'x,y,z'
loop_
_atom_site_label
_atom_site_fract_x
_atom_site_fract_y
_atom_site_fract_z
Pd1 0.634 0.000 0.500
Pd2 0.000 0.634 0.500
Pd3 0.366 0.366 0.500
Zn1 0.000 0.000 0.500
Zn2 0.333 0.667 0.000
Zn3 0.667 0.333 0.000
Nd1 0.292 0.000 0.000
Nd2 0.708 0.708 0.000
Nd3 0.000 0.292 0.000



# 6
# BaZn2InPb (PBE, relaxed)
# Final energy (eV per atom): -2.478
data_BaZn2InPb
_chemical_formula_sum 'Ba2 Zn4 In2 Pb2'
_space_group_name_H-M_alt 'P 1'
_space_group_IT_number 1
_cell_length_a 4.865
_cell_length_b 4.865
_cell_length_c 11.575
_cell_angle_alpha 90.00
_cell_angle_beta 90.00
_cell_angle_gamma 90.00
loop_
_space_group_symop_operation_xyz
'x,y,z'
loop_
_atom_site_label
_atom_site_fract_x
_atom_site_fract_y
_atom_site_fract_z
Zn1 0.000 0.000 0.000
Zn2 0.500 0.500 0.000
Zn3 0.500 0.000 0.354
Zn4 0.000 0.500 0.646
Ba1 0.500 0.000 0.762
Ba2 0.000 0.500 0.238
In1 0.500 0.000 0.120
In2 0.000 0.500 0.880
Pb1 0.000 0.000 0.500
Pb2 0.500 0.500 0.500



# 7
# YHoSc2Sb2 (PBE, relaxed)
# Total moment (Bohr magnetons per cell): 0.99
# Final energy (eV per atom): -6.162
data_YHoSc2Sb2
_chemical_formula_sum 'Y1 Ho1 Sc2 Sb2'
_space_group_name_H-M_alt 'P 1'
_space_group_IT_number 1
_cell_length_a 8.693
_cell_length_b 8.693
_cell_length_c 8.693
_cell_angle_alpha 151.10
_cell_angle_beta 151.10
_cell_angle_gamma 41.32
loop_
_space_group_symop_operation_xyz
'x,y,z'
loop_
_atom_site_label
_atom_site_fract_x
_atom_site_fract_y
_atom_site_fract_z
Sc1 0.000 0.500 0.500
Sc2 0.500 0.000 0.500
Y1 0.323 0.323 0.000
Sb1 0.869 0.869 0.000
Sb2 0.131 0.131 0.000
Ho1 0.676 0.676 0.000



# 8
# MgTaFePb (PBE, relaxed)
# Total moment (Bohr magnetons per cell): 2.61
# E above lowest polymorph (meV per atom): 208.5
data_MgTaFePb
_chemical_formula_sum 'Mg1 Ta1 Fe1 Pb1'
_space_group_name_H-M_alt 'P 1'
_space_group_IT_number 1
_cell_length_a 4.725
_cell_length_b 4.725
_cell_length_c 4.725
_cell_angle_alpha 60.00
_cell_angle_beta 60.00
_cell_angle_gamma 60.00
loop_
_space_group_symop_operation_xyz
'x,y,z'
loop_
_atom_site_label
_atom_site_fract_x
_atom_site_fract_y
_atom_site_fract_z
Mg1 0.500 0.500 0.500
Ta1 0.250 0.250 0.250
Pb1 0.000 0.000 0.000
Fe1 0.750 0.750 0.750



# 9
# TmSbN2O (PBE, relaxed)
# Total moment (Bohr magnetons per cell): 0.00
# Final energy (eV per atom): -6.592
data_TmSbN2O
_chemical_formula_sum 'Tm6 Sb6 N12 O6'
_space_group_name_H-M_alt 'P 1'
_space_group_IT_number 1
_cell_length_a 5.738
_cell_length_b 5.738
_cell_length_c 13.992
_cell_angle_alpha 90.00
_cell_angle_beta 90.00
_cell_angle_gamma 120.00
loop_
_space_group_symop_operation_xyz
'x,y,z'
loop_
_atom_site_label
_atom_site_fract_x
_atom_site_fract_y
_atom_site_fract_z
O1 0.505 0.011 0.250
O2 0.495 0.989 0.750
O3 0.989 0.495 0.250
O4 0.011 0.505 0.750
O5 0.495 0.505 0.750
O6 0.505 0.495 0.250
Sb1 0.000 0.000 0.000
Sb2 0.667 0.333 0.861
Sb3 0.667 0.333 0.639
Sb4 0.333 0.667 0.139
Sb5 0.000 0.000 0.500
Sb6 0.333 0.667 0.361
Tm1 0.000 0.000 0.250
Tm2 0.667 0.333 0.133
Tm3 0.333 0.667 0.633
Tm4 0.333 0.667 0.867
Tm5 0.000 0.000 0.750
Tm6 0.667 0.333 0.367
N1 0.147 0.294 0.398
N2 0.853 0.706 0.898
N3 0.147 0.853 0.102
N4 0.147 0.294 0.102
N5 0.147 0.853 0.398
N6 0.294 0.147 0.898
N7 0.853 0.706 0.602
N8 0.853 0.147 0.898
N9 0.853 0.147 0.602
N10 0.706 0.853 0.102
N11 0.706 0.853 0.398
N12 0.294 0.147 0.602



# 10
# HoSiNi4 (PBE, relaxed)
# Total moment (Bohr magnetons per cell): 0.00
# Final energy (eV per atom): -6.003
data_HoSiNi4
_chemical_formula_sum 'Ho1 Si1 Ni4'
_space_group_name_H-M_alt 'P 1'
_space_group_IT_number 1
_cell_length_a 4.798
_cell_length_b 4.798
_cell_length_c 3.949
_cell_angle_alpha 90.00
_cell_angle_beta 90.00
_cell_angle_gamma 116.62
loop_
_space_group_symop_operation_xyz
'x,y,z'
loop_
_atom_site_label
_atom_site_fract_x
_atom_site_fract_y
_atom_site_fract_z
Ni1 0.341 0.659 0.000
Ni2 0.000 0.500 0.500
Ni3 0.659 0.341 0.000
Ni4 0.500 0.000 0.500
Ho1 0.000 0.000 0.000
Si1 0.500 0.500 0.500



# 11
# AcReSb (PBE, relaxed)
# Total moment (Bohr magnetons per cell): 0.02
# E above lowest polymorph (meV per atom): 0.0
data_AcReSb
_chemical_formula_sum 'Ac1 Re1 Sb1'
_space_group_name_H-M_alt 'P 1'
_space_group_IT_number 1
_cell_length_a 4.870
_cell_length_b 4.870
_cell_length_c 4.870
_cell_angle_alpha 60.00
_cell_angle_beta 60.00
_cell_angle_gamma 60.00
loop_
_space_group_symop_operation_xyz
'x,y,z'
loop_
_atom_site_label
_atom_site_fract_x
_atom_site_fract_y
_atom_site_fract_z
Re1 0.250 0.250 0.250
Sb1 0.500 0.500 0.500
Ac1 0.000 0.000 0.000



# 12
# NaGdAsO (PBE, relaxed)
# Total moment (Bohr magnetons per cell): 0.08
# E above lowest polymorph (meV per atom): 291.6
data_NaGdAsO
_chemical_formula_sum 'Na2 Gd2 As2 O2'
_space_group_name_H-M_alt 'P 1'
_space_group_IT_number 1
_cell_length_a 3.604
_cell_length_b 8.100
_cell_length_c 6.655
_cell_angle_alpha 90.00
_cell_angle_beta 90.00
_cell_angle_gamma 90.00
loop_
_space_group_symop_operation_xyz
'x,y,z'
loop_
_atom_site_label
_atom_site_fract_x
_atom_site_fract_y
_atom_site_fract_z
Gd1 0.500 0.113 0.542
Gd2 0.500 0.887 0.042
O1 0.500 0.891 0.366
O2 0.500 0.109 0.866
As1 0.000 0.358 0.391
As2 0.000 0.642 0.891
Na1 0.000 0.289 0.954
Na2 0.000 0.711 0.454



# 13
# Mg4Pt3 (PBE, relaxed)
# Total moment (Bohr magnetons per cell): 0.00
# E above lowest polymorph (meV per atom): 114.0
data_Mg4Pt3
_chemical_formula_sum 'Mg8 Pt6'
_space_group_name_H-M_alt 'P 1'
_space_group_IT_number 1
_cell_length_a 7.538
_cell_length_b 7.538
_cell_length_c 4.770
_cell_angle_alpha 90.00
_cell_angle_beta 90.00
_cell_angle_gamma 60.00
loop_
_space_group_symop_operation_xyz
'x,y,z'
loop_
_atom_site_label
_atom_site_fract_x
_atom_site_fract_y
_atom_site_fract_z
Mg1 0.837 0.699 0.000
Mg2 0.396 0.059 0.500
Mg3 0.143 0.286 0.000
Mg4 0.116 0.539 0.500
Mg5 0.916 0.259 0.500
Mg6 0.036 0.979 0.000
Mg7 0.556 0.179 0.000
Mg8 0.810 0.952 0.500
Pt1 0.431 0.875 0.000
Pt2 0.265 0.574 0.000
Pt3 0.732 0.408 0.000
Pt4 0.521 0.363 0.500
Pt5 0.687 0.664 0.500
Pt6 0.221 0.830 0.500



# 14
# Zr4In5Co2 (PBE, relaxed)
# Total moment (Bohr magnetons per cell): 0.00
# Final energy (eV per atom): -5.996
data_Zr4In5Co2
_chemical_formula_sum 'Zr4 In5 Co2'
_space_group_name_H-M_alt 'P 1'
_space_group_IT_number 1
_cell_length_a 7.545
_cell_length_b 3.301
_cell_length_c 9.097
_cell_angle_alpha 90.00
_cell_angle_beta 94.76
_cell_angle_gamma 90.00
loop_
_space_group_symop_operation_xyz
'x,y,z'
loop_
_atom_site_label
_atom_site_fract_x
_atom_site_fract_y
_atom_site_fract_z
Co1 0.923 0.000 0.366
Co2 0.077 0.000 0.634
Zr1 0.201 0.500 0.440
Zr2 0.183 0.500 0.842
Zr3 0.799 0.500 0.560
Zr4 0.817 0.500 0.158
In1 0.541 0.000 0.332
In2 0.843 0.000 0.858
In3 0.500 0.000 0.000
In4 0.459 0.000 0.668
In5 0.157 0.000 0.142



# 15
# Er3Al3Ni2Ge (PBE, relaxed)
# Total moment (Bohr magnetons per cell): 0.04
# E above lowest polymorph (meV per atom): 360.5
data_Er3Al3Ni2Ge
_chemical_formula_sum 'Er3 Al3 Ni2 Ge1'
_space_group_name_H-M_alt 'P 1'
_space_group_IT_number 1
_cell_length_a 7.841
_cell_length_b 7.841
_cell_length_c 3.253
_cell_angle_alpha 90.00
_cell_angle_beta 90.00
_cell_angle_gamma 120.00
loop_
_space_group_symop_operation_xyz
'x,y,z'
loop_
_atom_site_label
_atom_site_fract_x
_atom_site_fract_y
_atom_site_fract_z
Ni1 0.333 0.667 0.000
Ni2 0.667 0.333 0.000
Al1 0.379 0.379 0.500
Al2 0.000 0.621 0.500
Al3 0.621 0.000 0.500
Er1 0.698 0.698 0.000
Er2 0.302 0.000 0.000
Er3 0.000 0.302 0.000
Ge1 0.000 0.000 0.500



# 16
# TcN2 (PBE, relaxed)
# Total moment (Bohr magnetons per cell): 0.00
# E above lowest polymorph (meV per atom): 148.4
data_TcN2
_chemical_formula_sum 'Tc2 N4'
_space_group_name_H-M_alt 'P 1'
_space_group_IT_number 1
_cell_length_a 4.851
_cell_length_b 4.851
_cell_length_c 2.790
_cell_angle_alpha 90.00
_cell_angle_beta 90.00
_cell_angle_gamma 90.00
loop_
_space_group_symop_operation_xyz
'x,y,z'
loop_
_atom_site_label
_atom_site_fract_x
_atom_site_fract_y
_atom_site_fract_z
N1 0.796 0.204 0.500
N2 0.704 0.704 0.000
N3 0.204 0.796 0.500
N4 0.296 0.296 0.000
Tc1 0.500 0.500 0.500
Tc2 0.000 0.000 0.000



# 17
# ZrTc (PBE, relaxed)
# Formation energy (meV per atom): -191.7
# Total moment (Bohr magnetons per cell): 0.01
data_ZrTc
_chemical_formula_sum 'Zr5 Tc5'
_space_group_name_H-M_alt 'P 1'
_space_group_IT_number 1
_cell_length_a 4.603
_cell_length_b 8.728
_cell_length_c 4.605
_cell_angle_alpha 90.00
_cell_angle_beta 90.00
_cell_angle_gamma 74.70
loop_
_space_group_symop_operation_xyz
'x,y,z'
loop_
_atom_site_label
_atom_site_fract_x
_atom_site_fract_y
_atom_site_fract_z
Zr1 0.785 0.600 0.500
Zr2 0.470 0.224 0.000
Zr3 0.593 0.979 0.500
Zr4 0.972 0.221 0.500
Zr5 0.094 0.976 0.000
Tc1 0.285 0.600 0.000
Tc2 0.377 0.413 0.500
Tc3 0.190 0.787 0.500
Tc4 0.876 0.414 0.000
Tc5 0.691 0.786 0.000



# 18
# Pr3HoSi4 (PBE, relaxed)
# Total moment (Bohr magnetons per cell): 0.03
# Final energy (eV per atom): -5.827
data_Pr3HoSi4
_chemical_formula_sum 'Pr3 Ho1 Si4'
_space_group_name_H-M_alt 'P 1'
_space_group_IT_number 1
_cell_length_a 5.905
_cell_length_b 3.932
_cell_length_c 8.220
_cell_angle_alpha 90.00
_cell_angle_beta 90.47
_cell_angle_gamma 90.00
loop_
_space_group_symop_operation_xyz
'x,y,z'
loop_
_atom_site_label
_atom_site_fract_x
_atom_site_fract_y
_atom_site_fract_z
Pr1 0.387 0.500 0.178
Pr2 0.886 0.000 0.320
Pr3 0.115 0.500 0.680
Ho1 0.615 0.000 0.820
Si1 0.872 0.500 0.029
Si2 0.381 0.000 0.468
Si3 0.624 0.500 0.543
Si4 0.120 0.000 0.961



# 19
# K6Cd4Sn3Se13 (PBE, relaxed)
# Final energy (eV per atom): -3.387
data_K6Cd4Sn3Se13
_chemical_formula_sum 'K6 Cd4 Sn3 Se13'
_space_group_name_H-M_alt 'P 1'
_space_group_IT_number 1
_cell_length_a 10.223
_cell_length_b 10.223
_cell_length_c 10.223
_cell_angle_alpha 94.77
_cell_angle_beta 94.77
_cell_angle_gamma 94.77
loop_
_space_group_symop_operation_xyz
'x,y,z'
loop_
_atom_site_label
_atom_site_fract_x
_atom_site_fract_y
_atom_site_fract_z
Se1 0.276 0.569 0.569
Se2 0.978 0.684 0.388
Se3 0.065 0.814 0.814
Se4 0.684 0.388 0.978
Se5 0.688 0.688 0.688
Se6 0.814 0.065 0.814
Se7 0.569 0.276 0.569
Se8 0.388 0.684 0.978
Se9 0.388 0.978 0.684
Se10 0.569 0.569 0.276
Se11 0.978 0.388 0.684
Se12 0.684 0.978 0.388
Se13 0.814 0.814 0.065
K1 0.004 0.004 0.576
K2 0.004 0.576 0.004
K3 0.360 0.792 0.360
K4 0.360 0.360 0.792
K5 0.792 0.360 0.360
K6 0.576 0.004 0.004
Cd1 0.933 0.635 0.635
Cd2 0.527 0.527 0.527
Cd3 0.635 0.635 0.933
Cd4 0.635 0.933 0.635
Sn1 0.757 0.292 0.757
Sn2 0.292 0.757 0.757
Sn3 0.757 0.757 0.292



# 20
# TbHoIr (PBE, relaxed)
# Formation energy (meV per atom): 160.6
# Total moment (Bohr magnetons per cell): 0.00
data_TbHoIr
_chemical_formula_sum 'Tb1 Ho1 Ir1'
_space_group_name_H-M_alt 'P 1'
_space_group_IT_number 1
_cell_length_a 4.694
_cell_length_b 4.694
_cell_length_c 4.694
_cell_angle_alpha 60.00
_cell_angle_beta 60.00
_cell_angle_gamma 60.00
loop_
_space_group_symop_operation_xyz
'x,y,z'
loop_
_atom_site_label
_atom_site_fract_x
_atom_site_fract_y
_atom_site_fract_z
Ir1 0.250 0.250 0.250
Ho1 0.000 0.000 0.000
Tb1 0.750 0.750 0.750



# 21
# U6Fe16Si7 (PBE, relaxed)
# Total moment (Bohr magnetons per cell): 3.16
# Final energy (eV per atom): -8.621
data_U6Fe16Si7
_chemical_formula_sum 'U6 Fe16 Si7'
_space_group_name_H-M_alt 'P 1'
_space_group_IT_number 1
_cell_length_a 8.172
_cell_length_b 8.172
_cell_length_c 8.172
_cell_angle_alpha 60.00
_cell_angle_beta 60.00
_cell_angle_gamma 60.00
loop_
_space_group_symop_operation_xyz
'x,y,z'
loop_
_atom_site_label
_atom_site_fract_x
_atom_site_fract_y
_atom_site_fract_z
Si1 0.000 0.000 0.000
Si2 0.000 0.500 0.500
Si3 0.000 0.000 0.500
Si4 0.500 0.500 0.000
Si5 0.500 0.000 0.000
Si6 0.000 0.500 0.000
Si7 0.500 0.000 0.500
U1 0.718 0.718 0.282
U2 0.282 0.718 0.718
U3 0.282 0.282 0.718
U4 0.718 0.282 0.282
U5 0.718 0.282 0.718
U6 0.282 0.718 0.282
Fe1 0.330 0.330 0.330
Fe2 0.122 0.634 0.122
Fe3 0.878 0.878 0.878
Fe4 0.670 0.991 0.670
Fe5 0.122 0.122 0.122
Fe6 0.670 0.670 0.991
Fe7 0.122 0.122 0.634
Fe8 0.330 0.330 0.009
Fe9 0.330 0.009 0.330
Fe10 0.366 0.878 0.878
Fe11 0.009 0.330 0.330
Fe12 0.670 0.670 0.670
Fe13 0.634 0.122 0.122
Fe14 0.878 0.366 0.878
Fe15 0.878 0.878 0.366
Fe16 0.991 0.670 0.670